Record 1
Computed, not measured: a relaxed Li4PrEr3Te8 crystal at the PBE level of DFT.

Properties
Energy relative to the elements, uncorrected = -1.2799 eV/atom
SG = R-3m, No. 166

Unit cell a=8.721 b=8.680 c=8.720 alpha=120.18 beta=120.00 gamma=90.00
Atoms (fractional coordinates):
Li 0.500 0.000 0.000
Li 0.500 0.000 0.500
Li 0.000 0.000 0.000
Li 0.000 0.000 0.500
Pr 0.000 0.500 0.000
Er 0.500 0.500 0.000
Er 0.500 0.500 0.500
Er 0.000 0.500 0.500
Te 0.257 0.757 0.000
Te 0.257 0.757 0.515
Te 0.249 0.248 0.499
Te 0.743 0.757 0.000
Te 0.257 0.243 0.000
Te 0.751 0.752 0.501
Te 0.743 0.243 0.485
Te 0.743 0.243 0.000

=====

Record 2
Computed, not measured: a relaxed Li3Pr2ErTe6 crystal at the PBE level of DFT.

Properties
Energy relative to the elements, uncorrected = -1.2878 eV/atom
SG = C2/m, No. 12

Unit cell a=7.681 b=7.681 c=7.537 alpha=99.80 beta=99.80 gamma=120.00
Atoms (fractional coordinates):
Li 0.167 0.833 0.500
Li 0.833 0.167 0.500
Li 0.500 0.500 0.500
Pr 0.333 0.667 0.000
Pr 0.667 0.333 0.000
Er 0.000 0.000 0.000
Te 0.913 0.591 0.739
Te 0.764 0.764 0.259
Te 0.087 0.409 0.261
Te 0.591 0.913 0.739
Te 0.236 0.236 0.741
Te 0.409 0.087 0.261

=====

Record 3
Computed, not measured: a relaxed Li2Pr2ErTl2 crystal at the PBE level of DFT.

Properties
Energy of formation from the pure elements = -0.191 eV/atom
SG = R-3m, No. 166

Unit cell a=4.857 b=4.857 c=9.615 alpha=75.37 beta=75.37 gamma=60.00
Atoms (fractional coordinates):
Li 0.612 0.612 0.165
Li 0.388 0.388 0.835
Pr 0.126 0.126 0.622
Pr 0.874 0.874 0.378
Er 0.000 0.000 0.000
Tl 0.732 0.732 0.803
Tl 0.268 0.268 0.197

=====

Record 4
Computed, not measured: a relaxed LiPrErTl crystal at the PBE level of DFT.

Properties
Energy of formation from the pure elements = -0.186 eV/atom
SG = F-43m, No. 216

Unit cell a=5.374 b=5.374 c=5.374 alpha=60.00 beta=60.00 gamma=60.00
Atoms (fractional coordinates):
Pr 0.500 0.500 0.500
Tl 0.750 0.750 0.750
Li 0.250 0.250 0.250
Er 0.000 0.000 0.000

=====

Record 5
Computed, not measured: a relaxed Li2PrEr2Tl2 crystal at the PBE level of DFT.

Properties
Energy of formation from the pure elements = -0.183 eV/atom
SG = R-3m, No. 166

Unit cell a=4.880 b=4.880 c=9.381 alpha=74.93 beta=74.93 gamma=60.00
Atoms (fractional coordinates):
Li 0.593 0.593 0.222
Li 0.407 0.407 0.778
Pr 0.000 0.000 0.000
Er 0.129 0.129 0.613
Er 0.871 0.871 0.387
Tl 0.742 0.742 0.773
Tl 0.258 0.258 0.227

=====

Record 6
Computed, not measured: a relaxed LiPr2ErTl4 crystal at the PBE level of DFT.

Properties
Energy of formation from the pure elements = -0.339 eV/atom
SG = R-3m, No. 166

Unit cell a=5.334 b=5.334 c=9.531 alpha=73.75 beta=73.75 gamma=60.00
Atoms (fractional coordinates):
Li 0.500 0.500 0.500
Pr 0.756 0.756 0.732
Pr 0.244 0.244 0.268
Er 0.000 0.000 0.000
Tl 0.375 0.375 0.876
Tl 0.875 0.875 0.376
Tl 0.125 0.125 0.624
Tl 0.625 0.625 0.124

=====

no.,total magnetization (μB/cell)
1,0.00
2,0.00
3,0.00
4,0.00
5,0.00
6,0.00